# 1
The following is a DFT calculation (PBE) of an optimized crystal structure of Cs4Rb3TlI8.

Output
ΔE_f (raw): -1.417 eV per atom
Total energy: -43.8 eV/cell
Space-group type: R-3m (166)

The structure in POSCAR format:
```
Cs4Rb3TlI8
1.0
-1.882 9.260 -5.127
1.813 -4.860 -9.444
-7.345 -3.987 6.767
Rb I Tl Cs
3 8 1 4
Cartesian
-2.766 -4.423 -1.338
-3.707 0.207 -3.902
-0.035 2.200 -7.285
-6.408 -5.280 -1.441
-3.740 -0.953 -0.348
-2.669 -3.249 -4.890
-4.746 3.663 -2.913
-3.675 1.367 -7.455
-7.367 -0.561 -4.053
-1.007 5.694 -6.362
-0.048 0.975 -3.750
0.906 -2.430 -4.722
0.000 0.000 0.000
-4.614 2.637 0.820
-3.673 -1.994 3.384
-0.941 4.630 -2.563
```


# 2
The following is a DFT calculation (PBE) of an optimized crystal structure of Tb2CeSe4.

Output
ΔE_f (raw): -1.858 eV per atom
Total energy: -84.3 eV/cell
Space-group type: Cmcm (63)

The structure in POSCAR format:
```
Tb2CeSe4
1.0
4.066 0.000 0.000
-2.033 6.767 0.000
0.000 0.000 13.890
Se Ce Tb
8 2 4
Cartesian
2.033 0.000 6.945
0.000 0.544 3.473
2.033 0.000 0.000
2.033 3.699 5.259
0.000 3.067 12.204
0.000 3.067 8.631
2.033 6.223 10.418
2.033 3.699 1.686
0.000 5.130 3.473
2.033 1.637 10.418
0.000 1.779 6.023
2.033 4.988 12.968
2.033 4.988 7.868
0.000 1.779 0.922
```


# 3
The following is a DFT calculation (PBE) of an optimized crystal structure of Li2Dy2HoIn5.

Output
Total energy: -70.0 eV/cell
Space-group type: P4/mbm (127)

The structure in POSCAR format:
```
Li2Dy2HoIn5
1.0
4.406 0.000 0.000
0.000 10.301 0.000
0.000 0.000 10.301
Ho In Li Dy
2 10 4 4
Cartesian
0.000 5.150 5.150
0.000 0.000 0.000
2.203 9.538 2.179
2.203 0.762 8.122
2.203 5.913 7.329
2.203 0.000 5.150
2.203 4.388 2.972
2.203 2.972 5.913
2.203 8.122 9.538
2.203 5.150 0.000
2.203 2.179 0.762
2.203 7.329 4.388
0.000 3.919 1.232
0.000 1.232 6.382
0.000 6.382 9.069
0.000 9.069 3.919
0.000 1.800 3.351
0.000 6.950 1.800
0.000 3.351 8.501
0.000 8.501 6.950
```


# 4
The following is a DFT calculation (PBE) of an optimized crystal structure of ThTlTc2O8.

Output
ΔE_f (raw): -1.813 eV per atom
Total energy: -91.9 eV/cell
Space-group type: P-3m1 (164)

The structure in POSCAR format:
```
ThTlTc2O8
1.0
-3.548 -0.952 4.872
4.231 -4.116 -1.544
5.273 3.709 4.565
Tc O Th Tl
2 8 1 1
Cartesian
0.288 -1.132 3.809
5.669 -0.226 4.084
6.477 -1.052 2.656
6.833 0.593 5.092
4.758 -1.517 5.020
1.199 0.159 2.873
-0.520 -0.307 5.237
-0.876 -1.951 2.802
1.534 -2.300 4.485
4.423 0.942 3.408
2.637 1.855 2.282
0.000 0.000 0.000
```


# 5
The following is a DFT calculation (PBE) of an optimized crystal structure of ZrTiIn.

Output
Offset from the most stable computed form: 55.4 meV/atom
Total energy: -19.1 eV/cell
Space-group type: P-6m2 (187)

The structure in POSCAR format:
```
ZrTiIn
1.0
2.955 0.000 0.000
0.000 4.920 0.000
0.000 -2.460 4.261
Ti Zr In
1 1 1
Cartesian
0.493 0.000 2.841
0.492 0.000 0.000
1.970 2.460 1.420
```


# 6
The following is a DFT calculation (PBE) of an optimized crystal structure of Ba3Ag2Hg.

Output
Total energy: -13.7 eV/cell
Space-group type: P4/mmm (123)

The structure in POSCAR format:
```
Ba3Ag2Hg
1.0
-1.646 3.364 1.722
-2.413 -2.382 2.344
8.930 -0.221 8.968
Ba Ag Hg
3 2 1
Cartesian
2.937 -0.073 2.949
5.993 -0.148 6.019
0.000 0.000 0.000
-0.562 0.455 3.507
5.432 0.306 9.528
2.435 0.380 6.518
```


# 7
The following is a DFT calculation (PBE) of an optimized crystal structure of Sc5In4Ni2.

Output
Total energy: -119.9 eV/cell
Space-group type: Pbam (55)

The structure in POSCAR format:
```
Sc5In4Ni2
1.0
3.387 0.000 0.000
0.000 7.592 0.000
0.000 0.000 17.231
In Sc Ni
8 10 4
Cartesian
1.693 4.331 6.005
1.693 1.527 7.460
1.693 6.065 9.771
1.693 5.323 1.155
1.693 2.269 16.075
1.693 3.261 11.226
1.693 7.057 14.620
1.693 0.535 2.611
0.000 1.862 4.813
0.000 1.934 13.429
0.000 4.729 15.725
0.000 3.796 8.615
0.000 0.000 0.000
0.000 2.863 1.505
0.000 6.659 7.110
0.000 5.658 3.802
0.000 5.730 12.418
0.000 0.933 10.121
1.693 4.104 13.867
1.693 0.308 11.979
1.693 3.488 3.364
1.693 7.284 5.252
```


# 8
The following is a DFT calculation (PBE) of an optimized crystal structure of SrSn4Au2.

Output
Offset from the most stable computed form: 0.0 meV/atom
Total energy: -107.0 eV/cell
Space-group type: Pnma (62)

The structure in POSCAR format:
```
SrSn4Au2
1.0
4.616 0.000 0.000
0.000 7.901 0.000
0.000 0.000 19.956
Sn Au Sr
16 8 4
Cartesian
3.462 6.758 9.354
3.462 4.001 11.304
3.462 5.657 6.289
1.154 0.050 18.630
1.154 5.417 13.691
1.154 6.435 3.714
3.462 5.094 19.332
1.154 2.807 0.624
3.462 1.466 16.242
1.154 2.244 13.667
3.462 2.484 6.264
3.462 7.850 1.326
1.154 3.900 8.652
3.462 6.194 16.267
1.154 1.707 3.689
1.154 1.143 10.602
1.154 6.027 10.863
1.154 5.824 0.885
3.462 1.874 9.092
3.462 2.077 19.070
3.462 0.121 4.460
3.462 3.829 14.438
1.154 7.779 15.496
1.154 4.072 5.518
3.462 4.105 2.862
1.154 0.155 7.116
3.462 7.746 12.840
1.154 3.795 17.094
```